Entry from Alexandria via LeMat-Bulk: an optimized crystal structure of TeRuBr2 (PBEsol).

raw formation energy: 0.4502 eV/atom
final energy: -3.91 eV per atom
symmetry: P4/mmm, No. 123
N(E_F): 4.50 states/eV/f.u.

Cell: 3.114 3.114 9.613 Å, 90.00 90.00 90.00°
Each line ends with the local moment (μB).
Atoms (fractional coordinates):
Ru  0.500  0.500  0.000  0.28
Br  0.000  0.000  0.160  0.01
Br  0.000  0.000  0.840  0.01
Te  0.500  0.500  0.500  0.00